Record 1
First-principles (GGA-PBE) data for an optimized crystal structure of La2Y2ErTm, as listed in the Alexandria database.

Computed properties:
For the density of states at the Fermi level, the calculation gives 1.629 states/eV/atom. The energy of formation is 0.073 eV/atom.

Unit cell a=5.6950 b=7.0602 c=9.8810 alpha=90.00 beta=90.00 gamma=90.00
With the nearest neighbours (Å) after each atom.
Fractional positions:
1 La 0.5000 0.0076 0.0000  6 La 3.53-3.78, 6 Y 3.74-3.76, 2 Tm 3.81
2 La 0.0000 0.2575 0.8219  5 Y 3.25-3.53
3 La 0.5000 0.5076 0.0000  6 La 3.53-3.78, 6 Y 3.74-3.76, 2 Tm 3.81
4 La 0.0000 0.7575 0.1781  5 Y 3.25-3.53
5 Y 0.0000 0.2575 0.1673  2 Tm 3.33, 3 La 3.41-3.53
6 Y 0.5000 0.2577 0.6643  3 Tm 3.19-3.53, 2 La 3.25
7 Y 0.0000 0.7575 0.8327  2 Tm 3.33, 3 La 3.41-3.53
8 Y 0.5000 0.7577 0.3357  3 Tm 3.19-3.53, 2 La 3.25
9 Er 0.0000 0.0076 0.5000  2 Er 3.53, 2 La 3.64, 4 Tm 3.70, 6 Y 3.72-3.73
10 Er 0.0000 0.5076 0.5000  2 Er 3.53, 2 La 3.64, 4 Tm 3.70, 6 Y 3.72-3.73
11 Tm 0.5000 0.2577 0.3415  5 Y 3.19-3.53
12 Tm 0.5000 0.7577 0.6585  5 Y 3.19-3.53

=====

Record 2
First-principles (GGA-PBE) data for an optimized crystal structure of Sm5SiBi4, as listed in the Alexandria database.

Computed properties:
For the density of states at the Fermi level, the calculation gives 0.338 states/eV/atom. The value obtained for the raw formation energy is -0.819 eV/atom.

Unit cell a=6.3584 b=7.7737 c=7.7737 alpha=80.37 beta=65.86 gamma=65.86
With the nearest neighbours (Å) after each atom.
Fractional positions:
1 Sm 0.9037 0.3803 0.8143  1 Si 3.00, 5 Bi 3.19-3.27
2 Sm 0.2840 0.8143 0.6197  1 Si 3.00, 5 Bi 3.19-3.27
3 Sm 0.7180 0.1857 0.3803  1 Si 3.00, 5 Bi 3.19-3.27
4 Sm 0.0983 0.6197 0.1857  1 Si 3.00, 5 Bi 3.19-3.27
5 Sm 0.5013 0.0000 0.0000  2 Si 3.18, 4 Bi 3.19
6 Si 0.0012 0.0000 0.0000  6 Sm 3.00-3.18
7 Bi 0.4076 0.3971 0.7897  6 Sm 3.19-3.27
8 Bi 0.8047 0.7897 0.6029  6 Sm 3.19-3.27
9 Bi 0.1972 0.2103 0.3971  6 Sm 3.19-3.27
10 Bi 0.5943 0.6029 0.2103  6 Sm 3.19-3.27